Entry 1:
Ni3SeS: relaxed, PBE.

a = 4.385 Å, b = 4.385 Å, c = 4.385 Å
α = 90.00°, β = 90.00°, γ = 90.00°
Element x y z (fractional)
Ni 0.000 0.000 0.500
Ni 0.000 0.500 0.000
Ni 0.500 0.000 0.000
Se 0.000 0.000 0.000
S 0.500 0.500 0.500

Output
VASP energy: -4.382 eV per atom
Space-group type: Pm-3m (221)
Calculated density: 5.65 g/cm³
V: 84 Å³ per cell
Crystal system: cubic
ΔE_f (raw): 0.61 eV/atom



Entry 2:
Li3TcSn: relaxed, PBE.

a = 4.936 Å, b = 4.936 Å, c = 4.936 Å
α = 90.00°, β = 90.00°, γ = 90.00°
Element x y z (fractional)
Li 0.000 0.000 0.500
Li 0.000 0.500 0.000
Li 0.500 0.000 0.000
Tc 0.500 0.500 0.500
Sn 0.000 0.000 0.000

Output
ΔH_f (0 K): 0.935 eV/atom
VASP energy: -3.087 eV per atom
Space-group type: Pm-3m (221)
Calculated density: 3.28 g/cm³
V: 120 Å³ per cell
Crystal system: cubic



Entry 3:
LuNbB2: relaxed, PBE.

a = 6.077 Å, b = 6.077 Å, c = 6.077 Å
α = 32.57°, β = 32.57°, γ = 32.57°
Element x y z (fractional)
Lu 0.000 0.000 0.000
Nb 0.500 0.500 0.500
B 0.238 0.238 0.238
B 0.762 0.762 0.762

Output
ΔH_f (0 K): -0.213 eV/atom
VASP energy: -7.199 eV per atom
Space-group type: R-3m (166)
Calculated density: 8.31 g/cm³
V: 58 Å³ per cell
Crystal system: trigonal



Entry 4:
PuNpIrPt: relaxed, PBE.

a = 4.892 Å, b = 4.892 Å, c = 4.892 Å
α = 60.00°, β = 60.00°, γ = 60.00°
Element x y z (fractional)
Pu 0.000 0.000 0.000
Np 0.500 0.500 0.500
Ir 0.250 0.250 0.250
Pt 0.750 0.750 0.750

Output
ΔH_f (0 K): -0.454 eV/atom
VASP energy: -10.997 eV per atom
Space-group type: F-43m (216)
Calculated density: 17.42 g/cm³
V: 83 Å³ per cell
Crystal system: cubic



Entry 5:
Pr2FeGe3Ir4: relaxed, PBE.

a = 4.228 Å, b = 4.228 Å, c = 10.352 Å
α = 90.00°, β = 90.00°, γ = 90.00°
Element x y z (fractional)
Pr 0.000 0.500 0.246
Pr 0.500 0.000 0.754
Fe 0.500 0.500 0.000
Ge 0.000 0.000 0.000
Ge 0.000 0.500 0.631
Ge 0.500 0.000 0.369
Ir 0.000 0.000 0.500
Ir 0.000 0.500 0.870
Ir 0.500 0.000 0.130
Ir 0.500 0.500 0.500

Output
ΔH_f (0 K): -0.669 eV/atom
VASP energy: -7.401 eV per atom
Space-group type: P-4m2 (115)
Calculated density: 11.88 g/cm³
V: 185 Å³ per cell
Crystal system: tetragonal



Entry 6:
GaAs3I: relaxed, PBE.

a = 5.426 Å, b = 5.426 Å, c = 5.426 Å
α = 90.00°, β = 90.00°, γ = 90.00°
Element x y z (fractional)
Ga 0.000 0.000 0.000
As 0.000 0.500 0.500
As 0.500 0.000 0.500
As 0.500 0.500 0.000
I 0.500 0.500 0.500

Output
VASP energy: -2.511 eV per atom
Space-group type: Pm-3m (221)
Calculated density: 4.38 g/cm³
V: 160 Å³ per cell
Crystal system: cubic
ΔE_f (raw): 1.19 eV/atom



Entry 7:
RePtS2: relaxed, PBE.

a = 7.989 Å, b = 7.989 Å, c = 7.989 Å
α = 22.39°, β = 22.39°, γ = 22.39°
Element x y z (fractional)
Re 0.000 0.000 0.000
Pt 0.500 0.500 0.500
S 0.403 0.403 0.403
S 0.597 0.597 0.597

Output
VASP energy: -6.779 eV per atom
Space-group type: R-3m (166)
Calculated density: 11.40 g/cm³
V: 65 Å³ per cell
Crystal system: trigonal
ΔE_f (raw): -0.09 eV/atom



Entry 8:
Pm4Ge6Rh7: relaxed, PBE.

a = 7.386 Å, b = 7.386 Å, c = 7.386 Å
α = 109.47°, β = 109.47°, γ = 109.47°
Element x y z (fractional)
Pm 0.000 0.000 0.500
Pm 0.000 0.500 0.000
Pm 0.500 0.000 0.000
Pm 0.500 0.500 0.500
Ge 0.000 0.326 0.326
Ge 0.000 0.674 0.674
Ge 0.326 0.000 0.326
Ge 0.326 0.326 0.000
Ge 0.674 0.000 0.674
Ge 0.674 0.674 0.000
Rh 0.000 0.000 0.000
Rh 0.250 0.500 0.750
Rh 0.250 0.750 0.500
Rh 0.500 0.250 0.750
Rh 0.500 0.750 0.250
Rh 0.750 0.250 0.500
Rh 0.750 0.500 0.250

Output
ΔH_f (0 K): -0.885 eV/atom
VASP energy: -6.660 eV per atom
Space-group type: Im-3m (229)
Calculated density: 9.29 g/cm³
V: 310 Å³ per cell
Crystal system: cubic



Entry 9:
CaBiSe2Br: relaxed, PBE.

a = 5.537 Å, b = 5.537 Å, c = 5.247 Å
α = 90.00°, β = 90.00°, γ = 90.00°
Element x y z (fractional)
Ca 0.000 0.000 0.000
Bi 0.500 0.500 0.500
Se 0.000 0.500 0.000
Se 0.500 0.000 0.000
Br 0.000 0.000 0.500

Output
VASP energy: -3.264 eV per atom
Space-group type: P4/mmm (123)
Calculated density: 5.02 g/cm³
V: 161 Å³ per cell
Crystal system: tetragonal
ΔE_f (raw): -0.36 eV/atom



Entry 10:
Zr6Sn3H: relaxed, PBE.

a = 5.953 Å, b = 5.953 Å, c = 7.268 Å
α = 99.95°, β = 99.95°, γ = 57.20°
Element x y z (fractional)
Zr 0.143 0.649 0.638
Zr 0.146 0.146 0.897
Zr 0.351 0.857 0.362
Zr 0.649 0.143 0.638
Zr 0.854 0.854 0.103
Zr 0.857 0.351 0.362
Sn 0.331 0.331 0.269
Sn 0.500 0.500 0.000
Sn 0.669 0.669 0.731
H 0.000 0.000 0.500

Output
VASP energy: -6.939 eV per atom
Space-group type: C2/m (12)
Calculated density: 7.08 g/cm³
V: 212 Å³ per cell
Crystal system: monoclinic



Entry 11:
Mn2MoPt3: relaxed, PBE.

a = 2.834 Å, b = 2.834 Å, c = 11.327 Å
α = 90.00°, β = 90.00°, γ = 90.00°
Element x y z (fractional)
Mn 0.000 0.000 0.162
Mn 0.000 0.000 0.838
Mo 0.000 0.000 0.500
Pt 0.500 0.500 0.000
Pt 0.500 0.500 0.329
Pt 0.500 0.500 0.671

Output
ΔH_f (0 K): -0.323 eV/atom
VASP energy: -8.205 eV per atom
Space-group type: P4/mmm (123)
Calculated density: 14.43 g/cm³
V: 91 Å³ per cell
Crystal system: tetragonal



Entry 12:
LiW2Se: relaxed, PBE.

a = 3.479 Å, b = 3.235 Å, c = 6.115 Å
α = 90.00°, β = 106.37°, γ = 90.00°
Element x y z (fractional)
Li 0.000 0.000 0.000
W 0.251 0.000 0.506
W 0.647 0.500 0.297
Se 0.429 0.500 0.859

Output
VASP energy: -7.749 eV per atom
Space-group type: Pm (6)
Calculated density: 11.41 g/cm³
V: 66 Å³ per cell
Crystal system: monoclinic
ΔE_f (raw): 0.08 eV/atom



Entry 13:
Pm12Pr6Sm: relaxed, PBE.

a = 8.764 Å, b = 8.764 Å, c = 8.764 Å
α = 89.36°, β = 89.36°, γ = 89.36°
Element x y z (fractional)
Pm 0.017 0.359 0.196
Pm 0.196 0.017 0.359
Pm 0.222 0.564 0.464
Pm 0.359 0.196 0.017
Pm 0.436 0.536 0.778
Pm 0.464 0.222 0.564
Pm 0.536 0.778 0.436
Pm 0.564 0.464 0.222
Pm 0.641 0.804 0.983
Pm 0.778 0.436 0.536
Pm 0.804 0.983 0.641
Pm 0.983 0.641 0.804
Pr 0.094 0.262 0.695
Pr 0.262 0.695 0.094
Pr 0.305 0.906 0.738
Pr 0.695 0.094 0.262
Pr 0.738 0.305 0.906
Pr 0.906 0.738 0.305
Sm 0.000 0.000 0.000

Output
ΔH_f (0 K): 0.130 eV/atom
VASP energy: -4.628 eV per atom
Space-group type: R-3 (148)
Calculated density: 6.75 g/cm³
V: 673 Å³ per cell
Crystal system: trigonal